No. 1
Here is a relaxed NaSr2CaS crystal from Alexandria. Energies are from PBE.

a = 5.999 Å, b = 5.999 Å, c = 5.553 Å
α = 90.00°, β = 90.00°, γ = 90.00°
Positions (direct):
Na (0.000, 0.000, 0.000)
Sr (0.000, 0.500, 0.500)
Sr (0.500, 0.000, 0.500)
Ca (0.500, 0.500, 0.000)
S (0.500, 0.500, 0.500)

Results
As for the calculated volume: 39.96 A^3/atom.



No. 2
Here is a relaxed NaCaTaS4 crystal from Alexandria. Energies are from PBE.

a = 6.759 Å, b = 7.030 Å, c = 7.973 Å
α = 90.00°, β = 105.67°, γ = 90.00°
Positions (direct):
Na (0.242, 0.250, 0.063)
Na (0.758, 0.750, 0.937)
Ca (0.209, 0.250, 0.550)
Ca (0.791, 0.750, 0.450)
Ta (0.249, 0.750, 0.312)
Ta (0.751, 0.250, 0.688)
S (0.022, 0.001, 0.263)
S (0.022, 0.499, 0.263)
S (0.437, 0.750, 0.593)
S (0.463, 0.750, 0.137)
S (0.537, 0.250, 0.863)
S (0.563, 0.250, 0.407)
S (0.978, 0.501, 0.737)
S (0.978, 0.999, 0.737)

Results
As for the calculated volume: 26.06 A^3/atom.



No. 3
Here is a relaxed NaCa2ThS4 crystal from Alexandria. Energies are from PBE.

a = 7.019 Å, b = 4.003 Å, c = 7.027 Å
α = 90.00°, β = 108.57°, γ = 90.00°
Positions (direct):
Na (0.000, 0.000, 0.000)
Ca (0.000, 0.500, 0.500)
Ca (0.500, 0.000, 0.500)
Th (0.500, 0.500, 0.000)
S (0.250, 0.000, 0.746)
S (0.262, 0.500, 0.251)
S (0.738, 0.500, 0.749)
S (0.750, 0.000, 0.254)

Results
As for the calculated volume: 23.40 A^3/atom.



No. 4
Here is a relaxed NaCa2TmS4 crystal from Alexandria. Energies are from PBE.

a = 6.857 Å, b = 3.997 Å, c = 6.919 Å
α = 90.00°, β = 108.55°, γ = 90.00°
Positions (direct):
Na (0.000, 0.000, 0.000)
Ca (0.500, 0.000, 0.500)
Ca (0.500, 0.500, 0.000)
Tm (0.000, 0.500, 0.500)
S (0.239, 0.000, 0.738)
S (0.249, 0.500, 0.264)
S (0.751, 0.500, 0.736)
S (0.761, 0.000, 0.262)

Results
As for the calculated volume: 22.47 A^3/atom.



No. 5
Here is a relaxed Na2Ca3US6 crystal from Alexandria. Energies are from PBE.

a = 6.999 Å, b = 6.999 Å, c = 6.949 Å
α = 99.71°, β = 99.71°, γ = 119.86°
Positions (direct):
Na (0.166, 0.834, 0.000)
Na (0.834, 0.166, 0.000)
Ca (0.000, 0.000, 0.500)
Ca (0.330, 0.670, 0.500)
Ca (0.670, 0.330, 0.500)
U (0.500, 0.500, 0.000)
S (0.101, 0.416, 0.749)
S (0.270, 0.270, 0.245)
S (0.416, 0.101, 0.749)
S (0.584, 0.899, 0.251)
S (0.730, 0.730, 0.755)
S (0.899, 0.584, 0.251)

Results
As for the calculated volume: 23.17 A^3/atom.



No. 6
Here is a relaxed Na2CaWS4 crystal from Alexandria. Energies are from PBE.

a = 7.113 Å, b = 7.113 Å, c = 7.113 Å
α = 126.14°, β = 126.14°, γ = 79.66°
Positions (direct):
Na (0.000, 0.000, 0.000)
Na (0.750, 0.250, 0.500)
Ca (0.500, 0.500, 0.000)
W (0.250, 0.750, 0.500)
S (0.152, 0.079, 0.505)
S (0.353, 0.848, 0.927)
S (0.574, 0.647, 0.495)
S (0.921, 0.426, 0.073)

Results
As for the calculated volume: 28.34 A^3/atom.



No. 7
Here is a relaxed NaCaY2S4 crystal from Alexandria. Energies are from PBE.

a = 6.843 Å, b = 3.956 Å, c = 6.975 Å
α = 90.00°, β = 109.02°, γ = 90.00°
Positions (direct):
Na (0.000, 0.000, 0.000)
Ca (0.500, 0.500, 0.000)
Y (0.000, 0.500, 0.500)
Y (0.500, 0.000, 0.500)
S (0.248, 0.000, 0.742)
S (0.257, 0.500, 0.263)
S (0.743, 0.500, 0.737)
S (0.752, 0.000, 0.258)

Results
As for the calculated volume: 22.31 A^3/atom.



No. 8
Here is a relaxed NaCa3Y2S6 crystal from Alexandria. Energies are from PBE.

a = 6.919 Å, b = 6.919 Å, c = 6.914 Å
α = 99.61°, β = 99.61°, γ = 119.94°
Positions (direct):
Na (0.000, 0.000, 0.000)
Ca (0.164, 0.836, 0.500)
Ca (0.500, 0.500, 0.500)
Ca (0.836, 0.164, 0.500)
Y (0.333, 0.667, 0.000)
Y (0.667, 0.333, 0.000)
S (0.082, 0.425, 0.246)
S (0.261, 0.261, 0.755)
S (0.425, 0.082, 0.246)
S (0.575, 0.918, 0.754)
S (0.739, 0.739, 0.245)
S (0.918, 0.575, 0.754)

Results
As for the calculated volume: 22.53 A^3/atom.



No. 9
Here is a relaxed NaCaZnS2 crystal from Alexandria. Energies are from PBE.

a = 6.050 Å, b = 5.688 Å, c = 7.656 Å
α = 90.00°, β = 90.22°, γ = 90.00°
Positions (direct):
Na (0.000, 0.003, 0.250)
Na (0.000, 0.997, 0.750)
Ca (0.500, 0.499, 0.750)
Ca (0.500, 0.501, 0.250)
Zn (0.500, 0.000, 0.000)
Zn (0.500, 0.000, 0.500)
S (0.237, 0.283, 0.000)
S (0.237, 0.717, 0.500)
S (0.763, 0.283, 0.500)
S (0.763, 0.717, 0.000)

Results
As for the calculated volume: 26.34 A^3/atom.



No. 10
Here is a relaxed Na2CaZn2S4 crystal from Alexandria. Energies are from PBE.

a = 7.869 Å, b = 7.869 Å, c = 8.034 Å
α = 120.07°, β = 120.07°, γ = 28.66°
Positions (direct):
Na (0.120, 0.120, 0.192)
Na (0.880, 0.880, 0.808)
Ca (0.000, 0.000, 0.500)
Zn (0.333, 0.333, 0.128)
Zn (0.667, 0.667, 0.872)
S (0.226, 0.226, 0.776)
S (0.494, 0.494, 0.746)
S (0.506, 0.506, 0.254)
S (0.774, 0.774, 0.224)

Results
As for the calculated volume: 22.70 A^3/atom.



No. 11
Here is a relaxed Na2Ca3ZrS6 crystal from Alexandria. Energies are from PBE.

a = 6.945 Å, b = 6.945 Å, c = 6.778 Å
α = 99.98°, β = 99.98°, γ = 119.81°
Positions (direct):
Na (0.166, 0.834, 0.000)
Na (0.834, 0.166, 0.000)
Ca (0.000, 0.000, 0.500)
Ca (0.330, 0.670, 0.500)
Ca (0.670, 0.330, 0.500)
Zr (0.500, 0.500, 0.000)
S (0.111, 0.420, 0.757)
S (0.274, 0.274, 0.237)
S (0.420, 0.111, 0.757)
S (0.580, 0.889, 0.243)
S (0.726, 0.726, 0.763)
S (0.889, 0.580, 0.243)

Results
As for the calculated volume: 22.18 A^3/atom.



No. 12
Here is a relaxed NaCa2ZrS4 crystal from Alexandria. Energies are from PBE.

a = 6.747 Å, b = 3.878 Å, c = 6.880 Å
α = 90.00°, β = 108.59°, γ = 90.00°
Positions (direct):
Na (0.000, 0.000, 0.000)
Ca (0.500, 0.000, 0.500)
Ca (0.500, 0.500, 0.000)
Zr (0.000, 0.500, 0.500)
S (0.236, 0.000, 0.736)
S (0.238, 0.500, 0.266)
S (0.762, 0.500, 0.734)
S (0.764, 0.000, 0.264)

Results
As for the calculated volume: 21.33 A^3/atom.



No. 13
Here is a relaxed NaCa2Sb2 crystal from Alexandria. Energies are from PBE.

a = 7.350 Å, b = 7.350 Å, c = 7.350 Å
α = 137.05°, β = 137.05°, γ = 62.36°
Positions (direct):
Na (0.000, 0.000, 0.000)
Ca (0.250, 0.750, 0.500)
Ca (0.750, 0.250, 0.500)
Sb (0.380, 0.380, 0.000)
Sb (0.620, 0.620, 0.000)

Results
As for the energy above the most stable polymorph in this dataset: 221 meV/atom. As for the calculated volume: 36.43 A^3/atom.



No. 14
Here is a relaxed NaCa3Sb crystal from Alexandria. Energies are from PBE.

a = 5.764 Å, b = 5.764 Å, c = 5.764 Å
α = 90.00°, β = 90.00°, γ = 90.00°
Positions (direct):
Na (0.000, 0.000, 0.000)
Ca (0.000, 0.000, 0.500)
Ca (0.000, 0.500, 0.000)
Ca (0.500, 0.000, 0.000)
Sb (0.500, 0.500, 0.500)

Results
As for the energy above the most stable polymorph in this dataset: 593 meV/atom. As for the calculated volume: 38.31 A^3/atom.



No. 15
Here is a relaxed NaCa2Sb2 crystal from Alexandria. Energies are from PBE.

a = 9.081 Å, b = 9.081 Å, c = 3.741 Å
α = 90.00°, β = 90.00°, γ = 90.00°
Positions (direct):
Na (0.000, 0.000, 0.000)
Na (0.500, 0.500, 0.000)
Ca (0.135, 0.365, 0.500)
Ca (0.365, 0.865, 0.500)
Ca (0.635, 0.135, 0.500)
Ca (0.865, 0.635, 0.500)
Sb (0.165, 0.665, 0.000)
Sb (0.335, 0.165, 0.000)
Sb (0.665, 0.835, 0.000)
Sb (0.835, 0.335, 0.000)

Results
As for the energy above the most stable polymorph in this dataset: 0 meV/atom. As for the calculated volume: 30.86 A^3/atom.



No. 16
Here is a relaxed NaCa3Sb crystal from Alexandria. Energies are from PBE.

a = 6.046 Å, b = 6.046 Å, c = 6.046 Å
α = 90.00°, β = 90.00°, γ = 90.00°
Positions (direct):
Na (0.000, 0.000, 0.000)
Ca (0.000, 0.500, 0.500)
Ca (0.500, 0.000, 0.500)
Ca (0.500, 0.500, 0.000)
Sb (0.500, 0.500, 0.500)

Results
As for the energy above the most stable polymorph in this dataset: 0 meV/atom. As for the calculated volume: 44.21 A^3/atom.



No. 17
Here is a relaxed NaCaSb4 crystal from Alexandria. Energies are from PBE.

a = 10.108 Å, b = 10.108 Å, c = 6.173 Å
α = 96.70°, β = 96.70°, γ = 35.48°
Positions (direct):
Na (0.149, 0.851, 0.750)
Na (0.851, 0.149, 0.250)
Ca (0.000, 0.500, 0.000)
Ca (0.500, 0.000, 0.500)
Sb (0.081, 0.577, 0.537)
Sb (0.287, 0.557, 0.182)
Sb (0.423, 0.919, 0.963)
Sb (0.443, 0.713, 0.318)
Sb (0.557, 0.287, 0.682)
Sb (0.577, 0.081, 0.037)
Sb (0.713, 0.443, 0.818)
Sb (0.919, 0.423, 0.463)

Results
As for the calculated volume: 30.28 A^3/atom.



No. 18
Here is a relaxed Na2CaSb crystal from Alexandria. Energies are from PBE.

a = 12.458 Å, b = 12.458 Å, c = 12.458 Å
α = 158.70°, β = 158.70°, γ = 30.30°
Positions (direct):
Na (0.091, 0.625, 0.966)
Na (0.375, 0.341, 0.466)
Na (0.659, 0.125, 0.034)
Na (0.875, 0.909, 0.534)
Ca (0.250, 0.750, 0.500)
Ca (0.500, 0.500, 0.000)
Sb (0.000, 0.000, 0.000)
Sb (0.750, 0.250, 0.500)

Results
As for the calculated volume: 31.86 A^3/atom.



No. 19
Here is a relaxed NaCa6Sb5 crystal from Alexandria. Energies are from PBE.

a = 9.878 Å, b = 9.878 Å, c = 9.878 Å
α = 147.79°, β = 135.98°, γ = 55.58°
Positions (direct):
Na (0.000, 0.000, 0.000)
Ca (0.088, 0.825, 0.263)
Ca (0.283, 0.500, 0.783)
Ca (0.438, 0.175, 0.263)
Ca (0.562, 0.825, 0.737)
Ca (0.717, 0.500, 0.217)
Ca (0.912, 0.175, 0.737)
Sb (0.141, 0.641, 0.500)
Sb (0.327, 0.327, 0.000)
Sb (0.500, 0.000, 0.500)
Sb (0.673, 0.673, 0.000)
Sb (0.859, 0.359, 0.500)

Results
As for the calculated volume: 29.55 A^3/atom.



No. 20
Here is a relaxed NaCa5Sb4 crystal from Alexandria. Energies are from PBE.

a = 9.365 Å, b = 9.365 Å, c = 9.365 Å
α = 153.85°, β = 113.11°, γ = 73.14°
Positions (direct):
Na (0.000, 0.000, 0.000)
Ca (0.058, 0.351, 0.706)
Ca (0.355, 0.649, 0.706)
Ca (0.500, 0.500, 0.000)
Ca (0.645, 0.351, 0.294)
Ca (0.942, 0.649, 0.294)
Sb (0.249, 0.249, 0.000)
Sb (0.279, 0.000, 0.279)
Sb (0.721, 0.000, 0.721)
Sb (0.751, 0.751, 0.000)

Results
As for the calculated volume: 32.89 A^3/atom.



No. 21
Here is a relaxed Na2Ca3Sb3 crystal from Alexandria. Energies are from PBE.

a = 9.391 Å, b = 9.391 Å, c = 6.550 Å
α = 90.00°, β = 90.00°, γ = 120.00°
Positions (direct):
Na (0.333, 0.667, 0.000)
Na (0.333, 0.667, 0.500)
Na (0.667, 0.333, 0.000)
Na (0.667, 0.333, 0.500)
Ca (0.000, 0.297, 0.250)
Ca (0.000, 0.703, 0.750)
Ca (0.297, 0.000, 0.250)
Ca (0.297, 0.297, 0.750)
Ca (0.703, 0.000, 0.750)
Ca (0.703, 0.703, 0.250)
Sb (0.000, 0.362, 0.750)
Sb (0.000, 0.638, 0.250)
Sb (0.362, 0.000, 0.750)
Sb (0.362, 0.362, 0.250)
Sb (0.638, 0.000, 0.250)
Sb (0.638, 0.638, 0.750)

Results
As for the calculated volume: 31.27 A^3/atom.



No. 22
Here is a relaxed NaCa2Sb2 crystal from Alexandria. Energies are from PBE.

a = 9.111 Å, b = 9.111 Å, c = 9.111 Å
α = 150.82°, β = 150.82°, γ = 41.74°
Positions (direct):
Na (0.000, 0.000, 0.000)
Ca (0.382, 0.382, 0.000)
Ca (0.618, 0.618, 0.000)
Sb (0.250, 0.750, 0.500)
Sb (0.750, 0.250, 0.500)

Results
As for the energy above the most stable polymorph in this dataset: 441 meV/atom. As for the calculated volume: 35.87 A^3/atom.



No. 23
Here is a relaxed Na3CaSb3Se8 crystal from Alexandria. Energies are from PBE.

a = 8.149 Å, b = 8.149 Å, c = 8.581 Å
α = 118.36°, β = 118.36°, γ = 60.03°
Positions (direct):
Na (0.000, 0.000, 0.000)
Na (0.000, 0.500, 0.000)
Na (0.500, 0.000, 0.000)
Ca (0.000, 0.000, 0.500)
Sb (0.000, 0.500, 0.500)
Sb (0.500, 0.000, 0.500)
Sb (0.500, 0.500, 0.500)
Se (0.248, 0.248, 0.727)
Se (0.248, 0.732, 0.727)
Se (0.256, 0.256, 0.269)
Se (0.268, 0.752, 0.273)
Se (0.732, 0.248, 0.727)
Se (0.744, 0.744, 0.731)
Se (0.752, 0.268, 0.273)
Se (0.752, 0.752, 0.273)

Results
As for the calculated volume: 27.51 A^3/atom.



Number 1: magnetization 0.0 μB/cell, ΔE_f (raw) -69.5 kJ/mol of atoms, calculated total energy -2.8828 eV per atom. Number 2: magnetization 0.0 μB/cell, ΔE_f (raw) -128.1 kJ/mol of atoms, calculated total energy -5.8542 eV per atom. Number 3: magnetization 0.0 μB/cell, ΔE_f (raw) -181.2 kJ/mol of atoms, calculated total energy -5.5340 eV per atom. Number 4: magnetization 0.0 μB/cell, ΔE_f (raw) -189.1 kJ/mol of atoms, calculated total energy -5.2479 eV per atom. Number 5: magnetization 2.0 μB/cell, ΔE_f (raw) -167.7 kJ/mol of atoms, calculated total energy -5.4623 eV per atom. Number 6: magnetization 2.0 μB/cell, ΔE_f (raw) -89.1 kJ/mol of atoms, calculated total energy -5.1862 eV per atom. Number 7: magnetization 0.0 μB/cell, ΔE_f (raw) -189.0 kJ/mol of atoms, calculated total energy -6.0539 eV per atom. Number 8: magnetization 0.0 μB/cell, ΔE_f (raw) -194.2 kJ/mol of atoms, calculated total energy -5.7640 eV per atom. Number 9: magnetization 1.2 μB/cell, ΔE_f (raw) -88.9 kJ/mol of atoms, calculated total energy -3.4915 eV per atom. Number 10: magnetization 0.0 μB/cell, ΔE_f (raw) -111.7 kJ/mol of atoms, calculated total energy -3.7908 eV per atom. Number 11: magnetization 0.0 μB/cell, ΔE_f (raw) -170.6 kJ/mol of atoms, calculated total energy -5.2641 eV per atom. Number 12: magnetization 0.0 μB/cell, ΔE_f (raw) -168.4 kJ/mol of atoms, calculated total energy -5.5432 eV per atom. Number 13: magnetization 0.0 μB/cell, ΔE_f (raw) -53.1 kJ/mol of atoms, calculated total energy -3.2637 eV per atom. Number 14: magnetization 0.0 μB/cell, ΔE_f (raw) 28.9 kJ/mol of atoms, calculated total energy -1.9902 eV per atom. Number 15: magnetization 0.0 μB/cell, ΔE_f (raw) -74.4 kJ/mol of atoms, calculated total energy -3.4848 eV per atom. Number 16: magnetization 0.0 μB/cell, ΔE_f (raw) -28.4 kJ/mol of atoms, calculated total energy -2.5834 eV per atom. Number 17: magnetization 0.0 μB/cell, ΔE_f (raw) -24.1 kJ/mol of atoms, calculated total energy -3.5517 eV per atom. Number 18: magnetization 0.0 μB/cell, ΔE_f (raw) -30.5 kJ/mol of atoms, calculated total energy -2.5069 eV per atom. Number 19: magnetization 0.0 μB/cell, ΔE_f (raw) -76.6 kJ/mol of atoms, calculated total energy -3.6221 eV per atom. Number 20: magnetization 0.0 μB/cell, ΔE_f (raw) -75.2 kJ/mol of atoms, calculated total energy -3.5608 eV per atom. Number 21: magnetization 0.0 μB/cell, ΔE_f (raw) -73.4 kJ/mol of atoms, calculated total energy -3.3875 eV per atom. Number 22: magnetization 0.0 μB/cell, ΔE_f (raw) -31.9 kJ/mol of atoms, calculated total energy -3.0440 eV per atom. Number 23: magnetization 0.0 μB/cell, ΔE_f (raw) -66.4 kJ/mol of atoms, calculated total energy -3.7680 eV per atom.